[1]
A plane-wave DFT calculation with PBE-GGA was carried out for Fe2RhW after structural relaxation.

Cell: 5.316 7.400 2.684 Å, 90.00 90.00 90.00°
Space group Cmmm (No. 65)
Symmetry-distinct sites (fractional):
Fe 0.250 0.250 0.000 x4
Rh 0.000 0.000 0.500 x2
W 0.000 0.500 0.500 x2

## Properties
The magnetization is 3.138 μB/f.u. For the energy relative to the elements, the calculation gives 0.0978 eV/atom. As for the density of states at the Fermi level: 8.89 states/eV per cell. As for the offset from the most stable computed form: 105 meV/atom.


[2]
A plane-wave DFT calculation with PBE-GGA was carried out for RbCe2N after structural relaxation.

Cell: 3.6079 3.6079 32.4822 Å, 90.00 90.00 120.00°
Space group R-3m (No. 166, hexagonal axes)
Symmetry-distinct sites (fractional):
Rb 0.0000 0.0000 0.0000 x3
Ce 0.0000 0.0000 0.1248 x6
N 0.0000 0.0000 0.5000 x3

## Properties
The magnetization is 2.405 μB/f.u. As for the uncorrected formation energy: -0.42 eV/atom. As for the density of states at the Fermi level: 28.29 states/eV per cell.